Computed, not measured: a geometry-optimized PmAlHg structure at the GGA-PBE level of DFT.

Lattice parameters (Å, degrees): 7.543 4.709 8.067 90.00 90.00 90.00
Space group Pnma (No. 62)
Asymmetric unit:
Pm: 0.002 0.250 0.216 (multiplicity 4)
Al: 0.203 0.250 0.588 (multiplicity 4)
Hg: 0.205 0.750 0.416 (multiplicity 4)

Results
- magnetization (μB per formula unit) = 0.2
- energy above the most stable polymorph in this dataset (meV per atom) = 13
- DFT formation energy (eV/atom) = -0.46

Computed, not measured: a geometry-optimized Pm3AlHg4 structure at the GGA-PBE level of DFT.

Lattice parameters (Å, degrees): 3.722 7.558 16.042 90.00 90.00 90.00
Space group Immm (No. 71)
Asymmetric unit:
Pm: 0.000 0.000 0.000 (multiplicity 2)
Pm: 0.000 0.500 0.225 (multiplicity 4)
Al: 0.000 0.000 0.500 (multiplicity 2)
Hg: 0.000 0.259 0.382 (multiplicity 8)

Results
- magnetization (μB per formula unit) = 0.0
- DFT formation energy (eV/atom) = -0.27

Computed, not measured: a geometry-optimized PmAl4Hg structure at the GGA-PBE level of DFT.

Lattice parameters (Å, degrees): 7.941 7.941 7.941 90.00 90.00 90.00
Space group F-43m (No. 216)
Asymmetric unit:
Pm: 0.000 0.000 0.000 (multiplicity 4)
Al: 0.126 0.126 0.374 (multiplicity 16)
Hg: 0.250 0.250 0.750 (multiplicity 4)

Results
- magnetization (μB per formula unit) = 0.0
- DFT formation energy (eV/atom) = -0.15

Computed, not measured: a geometry-optimized Pm4AlHg2 structure at the GGA-PBE level of DFT.

Lattice parameters (Å, degrees): 5.356 5.356 14.371 90.00 90.00 90.00
Space group I4/mmm (No. 139)
Asymmetric unit:
Pm: 0.000 0.500 0.118 (multiplicity 8)
Al: 0.000 0.000 0.000 (multiplicity 2)
Hg: 0.000 0.000 0.246 (multiplicity 4)

Results
- magnetization (μB per formula unit) = 0.0
- DFT formation energy (eV/atom) = -0.30